The following is a PBE-GGA calculation of a relaxed structure of In2Te2As, from Alexandria via LeMat-Bulk.

Computed properties:
DOS at the Fermi energy: 8.99 states/eV per cell
Energy relative to the elements, uncorrected: 67 meV per atom
Uncorrected energy: -3.2146 eV per atom

a = 8.042 Å, b = 8.042 Å, c = 4.654 Å
α = 90.00°, β = 90.00°, γ = 90.00°
Space group P4/mbm (No. 127)
Unique sites:
In: 0.140 0.360 0.000 (multiplicity 4)
Te: 0.178 0.678 0.500 (multiplicity 4)
As: 0.000 0.000 0.500 (multiplicity 2)



The following is a PBE-GGA calculation of a relaxed structure of Ho2Ge2BOs2, from Alexandria via LeMat-Bulk.

Computed properties:
DOS at the Fermi energy: 5.83 states/eV per cell
Formation enthalpy at 0 K: -630 meV per atom
Uncorrected energy: -7.4197 eV per atom

a = 11.001 Å, b = 4.225 Å, c = 6.904 Å
α = 90.00°, β = 128.32°, γ = 90.00°
Space group C2/m (No. 12)
Unique sites:
Ho: 0.064 0.000 0.333 (multiplicity 4)
Ge: 0.153 0.500 0.113 (multiplicity 4)
B: 0.000 0.500 0.500 (multiplicity 2)
Os: 0.211 0.500 0.814 (multiplicity 4)



The following is a PBE-GGA calculation of a relaxed structure of YMn2, from Alexandria via LeMat-Bulk.

Computed properties:
DOS at the Fermi energy: 5.60 states/eV per cell
Formation enthalpy at 0 K: 380 meV per atom
Uncorrected energy: -7.8875 eV per atom

a = 4.7835 Å, b = 4.7835 Å, c = 5.7796 Å
α = 90.00°, β = 90.00°, γ = 120.00°
Space group P6_3/mmc (No. 194)
Unique sites:
Y: 0.3333 0.6667 0.2500 (multiplicity 2)
Mn: 0.0000 0.0000 0.0000 (multiplicity 2)
Mn: 0.3333 0.6667 0.7500 (multiplicity 2)



The following is a PBE-GGA calculation of a relaxed structure of KFe2Se, from Alexandria via LeMat-Bulk.

Computed properties:
DOS at the Fermi energy: 7.48 states/eV per cell
Energy relative to the elements, uncorrected: 779 meV per atom
Uncorrected energy: -4.5980 eV per atom

a = 4.759 Å, b = 4.759 Å, c = 6.714 Å
α = 90.00°, β = 90.00°, γ = 90.00°
Space group I-4m2 (No. 119)
Unique sites:
K: 0.000 0.000 0.000 (multiplicity 2)
Fe: 0.000 0.000 0.500 (multiplicity 2)
Fe: 0.000 0.500 0.250 (multiplicity 2)
Se: 0.000 0.500 0.750 (multiplicity 2)



The following is a PBE-GGA calculation of a relaxed structure of Ce7Tl2Ga2, from Alexandria via LeMat-Bulk.

Computed properties:
DOS at the Fermi energy: 70.24 states/eV per cell
Formation enthalpy at 0 K: -27 meV per atom
Uncorrected energy: -4.7841 eV per atom

a = 8.188 Å, b = 11.579 Å, c = 6.994 Å
α = 90.00°, β = 90.00°, γ = 90.00°
Space group Cmmm (No. 65)
Unique sites:
Ce: 0.000 0.000 0.000 (multiplicity 2)
Ce: 0.000 0.500 0.209 (multiplicity 4)
Ce: 0.250 0.250 0.304 (multiplicity 8)
Tl: 0.178 0.000 0.500 (multiplicity 4)
Ga: 0.000 0.271 0.000 (multiplicity 4)



The following is a PBE-GGA calculation of a relaxed structure of Dy2Tl3AgTe6, from Alexandria via LeMat-Bulk.

Computed properties:
DOS at the Fermi energy: 14.33 states/eV per cell
Energy relative to the elements, uncorrected: -677 meV per atom
Uncorrected energy: -3.8440 eV per atom

a = 7.664 Å, b = 13.325 Å, c = 8.183 Å
α = 90.00°, β = 108.13°, γ = 90.00°
Space group C2/m (No. 12)
Unique sites:
Dy: 0.000 0.164 0.000 (multiplicity 4)
Tl: 0.000 0.000 0.500 (multiplicity 2)
Tl: 0.000 0.321 0.500 (multiplicity 4)
Ag: 0.000 0.500 0.000 (multiplicity 2)
Te: 0.233 0.336 0.214 (multiplicity 8)
Te: 0.244 0.000 0.228 (multiplicity 4)



The following is a PBE-GGA calculation of a relaxed structure of TcIrRh2, from Alexandria via LeMat-Bulk.

Computed properties:
DOS at the Fermi energy: 11.64 states/eV per cell
Formation enthalpy at 0 K: -73 meV per atom
ΔE to the lowest computed polymorph: 2.5 kJ per mole of atoms
Uncorrected energy: -8.5558 eV per atom

a = 3.859 Å, b = 3.859 Å, c = 7.684 Å
α = 90.00°, β = 90.00°, γ = 90.00°
Space group I-4m2 (No. 119)
Unique sites:
Tc: 0.000 0.000 0.000 (multiplicity 2)
Ir: 0.000 0.500 0.750 (multiplicity 2)
Rh: 0.000 0.000 0.500 (multiplicity 2)
Rh: 0.000 0.500 0.250 (multiplicity 2)



The following is a PBE-GGA calculation of a relaxed structure of DyHg2Pd9, from Alexandria via LeMat-Bulk.

Computed properties:
DOS at the Fermi energy: 15.69 states/eV per cell
Formation enthalpy at 0 K: -354 meV per atom
Uncorrected energy: -4.6825 eV per atom

a = 4.060 Å, b = 4.060 Å, c = 12.358 Å
α = 90.00°, β = 90.00°, γ = 90.00°
Space group P4/mmm (No. 123)
Unique sites:
Dy: 0.000 0.000 0.000 (multiplicity 1)
Hg: 0.000 0.000 0.337 (multiplicity 2)
Pd: 0.000 0.500 0.169 (multiplicity 4)
Pd: 0.000 0.500 0.500 (multiplicity 2)
Pd: 0.500 0.500 0.000 (multiplicity 1)
Pd: 0.500 0.500 0.332 (multiplicity 2)



The following is a PBE-GGA calculation of a relaxed structure of FeNiS2, from Alexandria via LeMat-Bulk.

Computed properties:
DOS at the Fermi energy: 18.89 states/eV per cell
Energy relative to the elements, uncorrected: -154 meV per atom
Uncorrected energy: -5.7789 eV per atom

a = 3.1548 Å, b = 3.1548 Å, c = 20.5485 Å
α = 90.00°, β = 90.00°, γ = 120.00°
Space group R-3m (No. 166, hexagonal axes)
Unique sites:
Fe: 0.0000 0.0000 0.0000 (multiplicity 3)
Ni: 0.0000 0.0000 0.5000 (multiplicity 3)
S: 0.0000 0.0000 0.3975 (multiplicity 6)



The following is a PBE-GGA calculation of a relaxed structure of Mg2Ta2Co, from Alexandria via LeMat-Bulk.

Computed properties:
DOS at the Fermi energy: 8.79 states/eV per cell
Formation enthalpy at 0 K: 870 meV per atom
Uncorrected energy: -5.9299 eV per atom

a = 3.646 Å, b = 3.646 Å, c = 15.456 Å
α = 90.00°, β = 90.00°, γ = 90.00°
Space group I4/mmm (No. 139)
Unique sites:
Mg: 0.000 0.000 0.088 (multiplicity 4)
Ta: 0.000 0.500 0.250 (multiplicity 4)
Co: 0.000 0.000 0.500 (multiplicity 2)



The following is a PBE-GGA calculation of a relaxed structure of V3TcIr, from Alexandria via LeMat-Bulk.

Computed properties:
DOS at the Fermi energy: 8.99 states/eV per cell
Formation enthalpy at 0 K: 1190 meV per atom
ΔE to the lowest computed polymorph: 0.0 kJ per mole of atoms
Uncorrected energy: -8.1268 eV per atom

a = 4.420 Å, b = 4.420 Å, c = 4.420 Å
α = 90.00°, β = 90.00°, γ = 90.00°
Space group Pm-3m (No. 221)
Unique sites:
V: 0.000 0.000 0.500 (multiplicity 3)
Tc: 0.000 0.000 0.000 (multiplicity 1)
Ir: 0.500 0.500 0.500 (multiplicity 1)



The following is a PBE-GGA calculation of a relaxed structure of AcAg7F12, from Alexandria via LeMat-Bulk.

Computed properties:
DOS at the Fermi energy: 27.37 states/eV per cell
Energy relative to the elements, uncorrected: -1644 meV per atom
Uncorrected energy: -3.9697 eV per atom

a = 8.676 Å, b = 8.676 Å, c = 8.676 Å
α = 90.00°, β = 90.00°, γ = 90.00°
Space group Im-3 (No. 204)
Unique sites:
Ac: 0.000 0.000 0.000 (multiplicity 2)
Ag: 0.000 0.000 0.500 (multiplicity 6)
Ag: 0.250 0.250 0.250 (multiplicity 8)
F: 0.000 0.272 0.159 (multiplicity 24)



Number 1 is which compound?
In2Te2As



Look up the DOS at the Fermi energy of the eighth one.
15.69 states/eV per cell